1.
Here is a relaxed Ta2RePb crystal from Alexandria. Energies are from PBE-GGA.

Unit cell a=4.150 b=4.150 c=4.254 alpha=90.00 beta=90.00 gamma=90.00
Space group P4/mmm (No. 123)
Asymmetric unit:
Ta1 0.000 0.500 0.000 x2
Re1 0.000 0.000 0.500 x1
Pb1 0.500 0.500 0.500 x1

formation energy from the elements = 42.8 kJ per mole of atoms
size of the total moment = 0.00 μB per formula unit

---

2.
Here is a relaxed TaRe2TcPb crystal from Alexandria. Energies are from PBE-GGA.

Unit cell a=4.784 b=4.784 c=5.256 alpha=90.00 beta=90.00 gamma=90.00
Space group P4/mmm (No. 123)
Asymmetric unit:
Ta1 0.000 0.000 0.000 x1
Re1 0.000 0.500 0.000 x2
Tc1 0.500 0.500 0.500 x1
Pb1 0.000 0.000 0.500 x1

formation energy from the elements = 231.7 kJ per mole of atoms
size of the total moment = 2.57 μB per formula unit

---

3.
Here is a relaxed TaTl2RePb crystal from Alexandria. Energies are from PBE-GGA.

Unit cell a=5.277 b=5.277 c=5.262 alpha=90.00 beta=90.00 gamma=90.00
Space group P4/mmm (No. 123)
Asymmetric unit:
Ta1 0.000 0.000 0.000 x1
Tl1 0.000 0.500 0.500 x2
Re1 0.500 0.500 0.500 x1
Pb1 0.500 0.500 0.000 x1

formation energy from the elements = 163.6 kJ per mole of atoms
size of the total moment = 0.69 μB per formula unit

---

4.
Here is a relaxed YTaRe2Pb crystal from Alexandria. Energies are from PBE-GGA.

Unit cell a=4.922 b=4.922 c=5.050 alpha=90.00 beta=90.00 gamma=90.00
Space group P4/mmm (No. 123)
Asymmetric unit:
Y1 0.000 0.000 0.000 x1
Ta1 0.000 0.000 0.500 x1
Re1 0.000 0.500 0.000 x2
Pb1 0.500 0.500 0.500 x1

formation energy from the elements = 253.2 kJ per mole of atoms
size of the total moment = 1.75 μB per formula unit

---

5.
Here is a relaxed ZrTaRePb2 crystal from Alexandria. Energies are from PBE-GGA.

Unit cell a=5.477 b=5.477 c=4.842 alpha=90.00 beta=90.00 gamma=90.00
Space group P4/mmm (No. 123)
Asymmetric unit:
Zr1 0.000 0.000 0.000 x1
Ta1 0.500 0.500 0.500 x1
Re1 0.000 0.000 0.500 x1
Pb1 0.000 0.500 0.000 x2

formation energy from the elements = 189.7 kJ per mole of atoms
size of the total moment = 1.33 μB per formula unit

---

6.
Here is a relaxed ReTc2Pb crystal from Alexandria. Energies are from PBE-GGA.

Unit cell a=2.9347 b=2.9347 c=27.6856 alpha=90.00 beta=90.00 gamma=120.00
Space group R3m (No. 160, hexagonal axes)
Asymmetric unit:
Re1 0.0000 0.0000 0.0000 x3
Tc1 0.0000 0.0000 0.4817 x3
Tc2 0.0000 0.0000 0.7412 x3
Pb1 0.0000 0.0000 0.2397 x3

formation energy from the elements = 56.6 kJ per mole of atoms
size of the total moment = 0.00 μB per formula unit

---

7.
Here is a relaxed Re2TcPb crystal from Alexandria. Energies are from PBE-GGA.

Unit cell a=2.9223 b=2.9223 c=28.1296 alpha=90.00 beta=90.00 gamma=120.00
Space group R-3m (No. 166, hexagonal axes)
Asymmetric unit:
Re1 0.0000 0.0000 0.2402 x6
Tc1 0.0000 0.0000 0.5000 x3
Pb1 0.0000 0.0000 0.0000 x3

formation energy from the elements = 61.9 kJ per mole of atoms
size of the total moment = 0.00 μB per formula unit

---

8.
Here is a relaxed Re2TcPb crystal from Alexandria. Energies are from PBE-GGA.

Unit cell a=9.260 b=2.999 c=5.073 alpha=90.00 beta=101.59 gamma=90.00
Space group Cm (No. 8)
Asymmetric unit:
Re1 0.000 0.000 0.000 x2
Re2 0.239 0.500 0.158 x2
Tc1 0.267 0.000 0.745 x2
Pb1 0.006 0.500 0.490 x2

formation energy from the elements = 67.1 kJ per mole of atoms
size of the total moment = 0.00 μB per formula unit

---

9.
Here is a relaxed ReTc2Pb crystal from Alexandria. Energies are from PBE-GGA.

Unit cell a=3.284 b=4.511 c=8.967 alpha=90.00 beta=90.00 gamma=90.00
Space group Immm (No. 71)
Asymmetric unit:
Re1 0.000 0.000 0.000 x2
Tc1 0.000 0.500 0.252 x4
Pb1 0.000 0.000 0.500 x2

formation energy from the elements = 72.4 kJ per mole of atoms
size of the total moment = 0.00 μB per formula unit

---

10.
Here is a relaxed ReTc2Pb crystal from Alexandria. Energies are from PBE-GGA.

Unit cell a=9.199 b=3.002 c=5.153 alpha=90.00 beta=102.84 gamma=90.00
Space group C2/m (No. 12)
Asymmetric unit:
Re1 0.000 0.000 0.000 x2
Tc1 0.233 0.500 0.199 x4
Pb1 0.000 0.500 0.500 x2

formation energy from the elements = 60.0 kJ per mole of atoms
size of the total moment = 0.00 μB per formula unit

---

11.
Here is a relaxed ReTc2Pb crystal from Alexandria. Energies are from PBE-GGA.

Unit cell a=7.407 b=7.407 c=5.608 alpha=90.00 beta=90.00 gamma=90.00
Space group I-42d (No. 122)
Asymmetric unit:
Re1 0.000 0.000 0.000 x4
Tc1 0.193 0.250 0.125 x8
Pb1 0.000 0.000 0.500 x4

formation energy from the elements = 95.2 kJ per mole of atoms
size of the total moment = 0.00 μB per formula unit

---

12.
Here is a relaxed ReTc3Pb crystal from Alexandria. Energies are from PBE-GGA.

Unit cell a=4.758 b=4.758 c=4.758 alpha=90.00 beta=90.00 gamma=90.00
Space group Pm-3m (No. 221)
Asymmetric unit:
Re1 0.000 0.000 0.000 x1
Tc1 0.000 0.000 0.500 x3
Pb1 0.500 0.500 0.500 x1

formation energy from the elements = 145.4 kJ per mole of atoms
distance to the lowest polymorph of the same formula = 0 meV/atom
size of the total moment = 2.28 μB per formula unit

---

no.,electronic total energy (eV/cell)
1,-38.09
2,-38.82
3,-24.26
4,-33.80
5,-30.44
6,-103.63
7,-109.22
8,-72.38
9,-67.77
10,-68.80
11,-131.77
12,-39.72